a) {"formula": "Re3MoAs", "functional": "PBE", "state": "relaxed", "dos_ef_per_ev_cell": 6.1, "cell": [[4.4763, 0.0000, 0.0000], [0.0000, 4.4763, 0.0000], [0.0000, 0.0000, 4.4763]], "species": ["Re", "Re", "Re", "Mo", "As"], "fractional_positions": [[0.0000, 0.0000, 0.5000], [0.0000, 0.5000, 0.0000], [0.5000, 0.0000, 0.0000], [0.5000, 0.5000, 0.5000], [0.0000, 0.0000, 0.0000]]}



b) {"formula": "Re3MoAs", "functional": "PBE", "state": "relaxed", "dos_ef_per_ev_cell": 6.5, "cell": [[4.7165, 0.0000, 0.0000], [0.0000, 4.7165, 0.0000], [0.0000, 0.0000, 4.7165]], "species": ["Re", "Re", "Re", "Mo", "As"], "fractional_positions": [[0.0000, 0.0000, 0.5000], [0.0000, 0.5000, 0.0000], [0.5000, 0.0000, 0.0000], [0.0000, 0.0000, 0.0000], [0.5000, 0.5000, 0.5000]]}



Most stable structure: a)



a) {"formula": "ReMoAs3", "functional": "PBE", "state": "relaxed", "dos_ef_per_ev_cell": 3.8, "cell": [[4.8215, 0.0000, 0.0000], [0.0000, 4.8215, 0.0000], [0.0000, 0.0000, 4.8215]], "species": ["Re", "Mo", "As", "As", "As"], "fractional_positions": [[0.0000, 0.0000, 0.0000], [0.5000, 0.5000, 0.5000], [0.0000, 0.0000, 0.5000], [0.0000, 0.5000, 0.0000], [0.5000, 0.0000, 0.0000]]}



b) {"formula": "ReMoAs3", "functional": "PBE", "state": "relaxed", "dos_ef_per_ev_cell": 3.3, "cell": [[6.5684, 0.0000, 0.0000], [0.0000, 3.1550, 0.0000], [-1.8709, 0.0000, 8.4161]], "species": ["Re", "Re", "Mo", "Mo", "As", "As", "As", "As", "As", "As"], "fractional_positions": [[0.1882, 0.2500, 0.4887], [0.8118, 0.7500, 0.5113], [0.3826, 0.2500, 0.8614], [0.6174, 0.7500, 0.1386], [0.0075, 0.7500, 0.2830], [0.2311, 0.7500, 0.0384], [0.4868, 0.7500, 0.6473], [0.5132, 0.2500, 0.3527], [0.7689, 0.2500, 0.9616], [0.9925, 0.2500, 0.7170]]}



Most stable structure: b)



a) {"formula": "MoAsRh", "functional": "PBE", "state": "relaxed", "dos_ef_per_ev_cell": 4.2, "cell": [[3.0308, 0.0000, 0.0000], [0.0000, 3.0308, 0.0000], [0.0000, 0.0000, 9.8660]], "species": ["Mo", "Mo", "As", "As", "Rh", "Rh"], "fractional_positions": [[0.0000, 0.0000, 0.0000], [0.5000, 0.5000, 0.5000], [0.0000, 0.0000, 0.6504], [0.5000, 0.5000, 0.1504], [0.0000, 0.0000, 0.3172], [0.5000, 0.5000, 0.8172]]}



b) {"formula": "MoAsRh", "functional": "PBE", "state": "relaxed", "dos_ef_per_ev_cell": 1.8, "cell": [[4.2837, 0.0000, 0.0000], [-2.1419, 3.7098, 0.0000], [0.0000, 0.0000, 2.8717]], "species": ["Mo", "As", "Rh"], "fractional_positions": [[0.0000, 0.0000, 0.0000], [0.3333, 0.6667, 0.7670], [0.6667, 0.3333, 0.4953]]}



c) {"formula": "MoAsRh", "functional": "PBE", "state": "relaxed", "dos_ef_per_ev_cell": 6.3, "cell": [[2.1532, 1.2431, 6.5540], [-2.1532, 1.2431, 6.5540], [0.0000, -2.4863, 6.5540]], "species": ["Mo", "Mo", "As", "As", "Rh", "Rh"], "fractional_positions": [[0.1390, 0.1390, 0.1390], [0.8610, 0.8610, 0.8610], [0.2761, 0.2761, 0.2761], [0.7239, 0.7239, 0.7239], [0.4298, 0.4298, 0.4298], [0.5702, 0.5702, 0.5702]]}



Most stable structure: a)



a) {"formula": "MoAsRh", "functional": "PBE", "state": "relaxed", "dos_ef_per_ev_cell": 2.6, "cell": [[2.8899, 0.0000, 0.0000], [-1.4449, 2.5027, 0.0000], [0.0000, 0.0000, 6.3746]], "species": ["Mo", "As", "Rh"], "fractional_positions": [[0.0000, 0.0000, 0.0000], [0.3333, 0.6667, 0.6625], [0.6667, 0.3333, 0.3319]]}



b) {"formula": "MoAsRh", "functional": "PBE", "state": "relaxed", "dos_ef_per_ev_cell": 9.2, "cell": [[5.9709, 0.0000, 0.0000], [0.0000, 5.9709, 0.0000], [0.0000, 0.0000, 5.9709]], "species": ["Mo", "Mo", "Mo", "Mo", "As", "As", "As", "As", "Rh", "Rh", "Rh", "Rh"], "fractional_positions": [[0.0000, 0.0000, 0.0000], [0.0000, 0.5000, 0.5000], [0.5000, 0.0000, 0.5000], [0.5000, 0.5000, 0.0000], [0.2500, 0.2500, 0.7500], [0.2500, 0.7500, 0.2500], [0.7500, 0.2500, 0.2500], [0.7500, 0.7500, 0.7500], [0.2500, 0.2500, 0.2500], [0.2500, 0.7500, 0.7500], [0.7500, 0.2500, 0.7500], [0.7500, 0.7500, 0.2500]]}



c) {"formula": "MoAsRh", "functional": "PBE", "state": "relaxed", "dos_ef_per_ev_cell": 4.8, "cell": [[2.8734, 0.0000, 0.0000], [0.0000, 3.9954, 0.0000], [0.0000, 0.0000, 7.9553]], "species": ["Mo", "Mo", "As", "As", "Rh", "Rh"], "fractional_positions": [[0.0000, 0.0000, 0.0000], [0.5000, 0.5000, 0.5000], [0.0000, 0.0000, 0.6724], [0.5000, 0.5000, 0.1724], [0.0000, 0.0000, 0.3444], [0.5000, 0.5000, 0.8444]]}



Most stable structure: a)



a) {"formula": "MoAsRh3", "functional": "PBE", "state": "relaxed", "dos_ef_per_ev_cell": 5.1, "cell": [[4.6775, 0.0000, 0.0000], [0.0000, 4.6775, 0.0000], [0.0000, 0.0000, 4.6775]], "species": ["Mo", "As", "Rh", "Rh", "Rh"], "fractional_positions": [[0.0000, 0.0000, 0.0000], [0.5000, 0.5000, 0.5000], [0.0000, 0.0000, 0.5000], [0.0000, 0.5000, 0.0000], [0.5000, 0.0000, 0.0000]]}



b) {"formula": "MoAsRh3", "functional": "PBE", "state": "relaxed", "dos_ef_per_ev_cell": 3.8, "cell": [[4.5133, 0.0000, 0.0000], [0.0000, 4.5133, 0.0000], [0.0000, 0.0000, 4.5133]], "species": ["Mo", "As", "Rh", "Rh", "Rh"], "fractional_positions": [[0.0000, 0.0000, 0.0000], [0.5000, 0.5000, 0.5000], [0.0000, 0.5000, 0.5000], [0.5000, 0.0000, 0.5000], [0.5000, 0.5000, 0.0000]]}



Most stable structure: b)



a) {"formula": "MoAsRhSe2", "functional": "PBE", "state": "relaxed", "dos_ef_per_ev_cell": 2.8, "cell": [[5.0089, 0.0000, 0.0000], [0.0000, 5.0089, 0.0000], [0.0000, 0.0000, 4.5380]], "species": ["Mo", "As", "Rh", "Se", "Se"], "fractional_positions": [[0.0000, 0.0000, 0.0000], [0.5000, 0.5000, 0.0000], [0.5000, 0.5000, 0.5000], [0.0000, 0.5000, 0.5000], [0.5000, 0.0000, 0.5000]]}



b) {"formula": "MoAsRhSe2", "functional": "PBE", "state": "relaxed", "dos_ef_per_ev_cell": 4.8, "cell": [[4.8349, 0.0000, 0.0000], [0.0000, 4.8349, 0.0000], [0.0000, 0.0000, 4.8755]], "species": ["Mo", "As", "Rh", "Se", "Se"], "fractional_positions": [[0.0000, 0.0000, 0.0000], [0.0000, 0.0000, 0.5000], [0.5000, 0.5000, 0.5000], [0.0000, 0.5000, 0.0000], [0.5000, 0.0000, 0.0000]]}



Most stable structure: b)



a) {"formula": "MoAsRu3", "functional": "PBE", "state": "relaxed", "dos_ef_per_ev_cell": 6.0, "cell": [[4.6544, 0.0000, 0.0000], [0.0000, 4.6544, 0.0000], [0.0000, 0.0000, 4.6544]], "species": ["Mo", "As", "Ru", "Ru", "Ru"], "fractional_positions": [[0.0000, 0.0000, 0.0000], [0.5000, 0.5000, 0.5000], [0.0000, 0.0000, 0.5000], [0.0000, 0.5000, 0.0000], [0.5000, 0.0000, 0.0000]]}



b) {"formula": "MoAsRu3", "functional": "PBE", "state": "relaxed", "dos_ef_per_ev_cell": 6.8, "cell": [[4.4654, 0.0000, 0.0000], [0.0000, 4.4654, 0.0000], [0.0000, 0.0000, 4.4654]], "species": ["Mo", "As", "Ru", "Ru", "Ru"], "fractional_positions": [[0.0000, 0.0000, 0.0000], [0.5000, 0.5000, 0.5000], [0.0000, 0.5000, 0.5000], [0.5000, 0.0000, 0.5000], [0.5000, 0.5000, 0.0000]]}



Most stable structure: b)



a) {"formula": "MoAs2Ru", "functional": "PBE", "state": "relaxed", "dos_ef_per_ev_cell": 13.7, "cell": [[3.0313, 0.0000, 0.0000], [-1.5157, 2.6252, 0.0000], [0.0000, 0.0000, 23.3199]], "species": ["Mo", "Mo", "Mo", "As", "As", "As", "As", "As", "As", "Ru", "Ru", "Ru"], "fractional_positions": [[0.0000, 0.0000, 0.0000], [0.3333, 0.6667, 0.6667], [0.6667, 0.3333, 0.3333], [0.0000, 0.0000, 0.2476], [0.0000, 0.0000, 0.7524], [0.3333, 0.6667, 0.4190], [0.3333, 0.6667, 0.9143], [0.6667, 0.3333, 0.0857], [0.6667, 0.3333, 0.5810], [0.0000, 0.0000, 0.5000], [0.3333, 0.6667, 0.1667], [0.6667, 0.3333, 0.8333]]}



b) {"formula": "MoAs2Ru", "functional": "PBE", "state": "relaxed", "dos_ef_per_ev_cell": 12.8, "cell": [[5.6775, 0.0000, 0.0000], [0.0000, 5.6775, 0.0000], [0.0000, 0.0000, 10.6874]], "species": ["Mo", "Mo", "Mo", "Mo", "As", "As", "As", "As", "As", "As", "As", "As", "Ru", "Ru", "Ru", "Ru"], "fractional_positions": [[0.0000, 0.0000, 0.0000], [0.0000, 0.5000, 0.2500], [0.5000, 0.0000, 0.7500], [0.5000, 0.5000, 0.5000], [0.2385, 0.2500, 0.6250], [0.2500, 0.7385, 0.8750], [0.2500, 0.7615, 0.3750], [0.2615, 0.2500, 0.1250], [0.7385, 0.7500, 0.1250], [0.7500, 0.2385, 0.3750], [0.7500, 0.2615, 0.8750], [0.7615, 0.7500, 0.6250], [0.0000, 0.0000, 0.5000], [0.0000, 0.5000, 0.7500], [0.5000, 0.0000, 0.2500], [0.5000, 0.5000, 0.0000]]}



Most stable structure: a)



a) {"formula": "MoAs2Ru", "functional": "PBE", "state": "relaxed", "dos_ef_per_ev_cell": 6.3, "cell": [[8.9136, 0.0000, 0.0000], [0.0000, 3.1491, 0.0000], [-1.2146, 0.0000, 4.3503]], "species": ["Mo", "Mo", "As", "As", "As", "As", "Ru", "Ru"], "fractional_positions": [[0.0000, 0.0000, 0.0000], [0.5000, 0.5000, 0.0000], [0.0008, 0.5000, 0.5237], [0.2635, 0.0000, 0.8938], [0.5008, 0.0000, 0.5237], [0.7635, 0.5000, 0.8938], [0.2617, 0.5000, 0.3983], [0.7617, 0.0000, 0.3983]]}



b) {"formula": "MoAs2Ru", "functional": "PBE", "state": "relaxed", "dos_ef_per_ev_cell": 2.8, "cell": [[2.8890, 0.0000, 0.0000], [0.0000, 4.0669, 0.0000], [0.0000, 0.0000, 5.2955]], "species": ["Mo", "As", "As", "Ru"], "fractional_positions": [[0.0000, 0.0000, 0.0000], [0.0000, 0.0000, 0.4789], [0.5000, 0.5000, 0.8333], [0.5000, 0.5000, 0.3169]]}



Most stable structure: a)



a) {"formula": "MoAs2Ru", "functional": "PBE", "state": "relaxed", "dos_ef_per_ev_cell": 8.5, "cell": [[7.9496, 0.0000, 0.0000], [0.0000, 3.0194, 0.0000], [-1.2200, 0.0000, 5.1599]], "species": ["Mo", "Mo", "As", "As", "As", "As", "Ru", "Ru"], "fractional_positions": [[0.0000, 0.0000, 0.0000], [0.5000, 0.5000, 0.0000], [0.2481, 0.0000, 0.7480], [0.2519, 0.5000, 0.2520], [0.7481, 0.5000, 0.7480], [0.7519, 0.0000, 0.2520], [0.0000, 0.5000, 0.5000], [0.5000, 0.0000, 0.5000]]}



b) {"formula": "MoAs2Ru", "functional": "PBE", "state": "relaxed", "dos_ef_per_ev_cell": 7.5, "cell": [[3.1837, 0.0000, 0.0000], [0.0000, 5.1100, 0.0000], [0.0000, 0.0000, 7.8699]], "species": ["Mo", "Mo", "As", "As", "As", "As", "Ru", "Ru"], "fractional_positions": [[0.0000, 0.0000, 0.0000], [0.5000, 0.5000, 0.0000], [0.0000, 0.5000, 0.2545], [0.0000, 0.5000, 0.7455], [0.5000, 0.0000, 0.2545], [0.5000, 0.0000, 0.7455], [0.0000, 0.0000, 0.5000], [0.5000, 0.5000, 0.5000]]}



Most stable structure: a)



a) {"formula": "MoAs2Ru", "functional": "PBE", "state": "relaxed", "dos_ef_per_ev_cell": 4.3, "cell": [[3.3255, 0.0000, 0.0000], [0.0000, 3.3255, 0.0000], [0.0000, 0.0000, 5.6786]], "species": ["Mo", "As", "As", "Ru"], "fractional_positions": [[0.0000, 0.0000, 0.0000], [0.0000, 0.0000, 0.5017], [0.5000, 0.5000, 0.8237], [0.5000, 0.5000, 0.3401]]}



b) {"formula": "MoAs2Ru", "functional": "PBE", "state": "relaxed", "dos_ef_per_ev_cell": 3.4, "cell": [[3.0710, 0.0000, 0.0000], [0.0000, 4.0004, 0.0000], [0.0000, 0.0000, 5.2285]], "species": ["Mo", "As", "As", "Ru"], "fractional_positions": [[0.0000, 0.0000, 0.0000], [0.0000, 0.5000, 0.5000], [0.5000, 0.5000, 0.0000], [0.5000, 0.0000, 0.5000]]}



c) {"formula": "MoAs2Ru", "functional": "PBE", "state": "relaxed", "dos_ef_per_ev_cell": 5.0, "cell": [[3.0839, 0.0000, 0.0000], [0.0000, 4.2083, 0.0000], [0.0000, 0.0000, 9.5867]], "species": ["Mo", "Mo", "As", "As", "As", "As", "Ru", "Ru"], "fractional_positions": [[0.0000, 0.0000, 0.0000], [0.5000, 0.5000, 0.5000], [0.0000, 0.0000, 0.4833], [0.0000, 0.5000, 0.2589], [0.5000, 0.0000, 0.7589], [0.5000, 0.5000, 0.9833], [0.0000, 0.5000, 0.7699], [0.5000, 0.0000, 0.2699]]}



d) {"formula": "MoAs2Ru", "functional": "PBE", "state": "relaxed", "dos_ef_per_ev_cell": 2.0, "cell": [[2.8736, 0.0000, 0.0000], [0.0000, 2.8736, 0.0000], [0.0000, 0.0000, 8.9612]], "species": ["Mo", "As", "As", "Ru"], "fractional_positions": [[0.0000, 0.0000, 0.0000], [0.0000, 0.0000, 0.3849], [0.5000, 0.5000, 0.7876], [0.5000, 0.5000, 0.2026]]}



Most stable structure: d)



a) {"formula": "MoAs2Ru", "functional": "PBE", "state": "relaxed", "dos_ef_per_ev_cell": 4.0, "cell": [[3.0253, 0.0000, 0.0000], [0.0000, 3.7864, 0.0000], [0.0000, 0.0000, 5.6299]], "species": ["Mo", "As", "As", "Ru"], "fractional_positions": [[0.0000, 0.0000, 0.0000], [0.5000, 0.5000, 0.2331], [0.5000, 0.5000, 0.7669], [0.5000, 0.0000, 0.5000]]}



b) {"formula": "MoAs2Ru", "functional": "PBE", "state": "relaxed", "dos_ef_per_ev_cell": 6.3, "cell": [[5.5977, 0.0000, 0.0000], [0.0000, 5.5849, 0.0000], [-2.7959, 0.0000, 3.9776]], "species": ["Mo", "Mo", "As", "As", "As", "As", "Ru", "Ru"], "fractional_positions": [[0.0000, 0.0000, 0.0000], [0.5000, 0.5000, 0.0000], [0.0000, 0.4985, 0.0000], [0.0000, 0.7494, 0.5000], [0.5000, 0.2494, 0.5000], [0.5000, 0.9985, 0.0000], [0.0000, 0.2489, 0.5000], [0.5000, 0.7489, 0.5000]]}



c) {"formula": "MoAs2Ru", "functional": "PBE", "state": "relaxed", "dos_ef_per_ev_cell": 12.1, "cell": [[2.9186, 0.0000, 0.0000], [-1.4593, 2.5276, 0.0000], [0.0000, 0.0000, 31.0947]], "species": ["Mo", "Mo", "Mo", "As", "As", "As", "As", "As", "As", "Ru", "Ru", "Ru"], "fractional_positions": [[0.0000, 0.0000, 0.0000], [0.3333, 0.6667, 0.6667], [0.6667, 0.3333, 0.3333], [0.0000, 0.0000, 0.5356], [0.0000, 0.0000, 0.7330], [0.3333, 0.6667, 0.2023], [0.3333, 0.6667, 0.3996], [0.6667, 0.3333, 0.0663], [0.6667, 0.3333, 0.8690], [0.0000, 0.0000, 0.2631], [0.3333, 0.6667, 0.9298], [0.6667, 0.3333, 0.5964]]}



Most stable structure: c)